## PuTh2V (PBE)

Data for a relaxed structure of PuTh2V.

Computed properties:
Formation energy   0.229 eV per atom
Total moment   4.0 μB/cell
DOS(E_F)   2.356 states/eV/atom
Excess energy over the best structure of this formula in the dataset   0 meV/atom

a b c (Å): 3.604 3.604 7.883
angles (deg): 90.00 90.00 90.00
Space group P4/mmm (No. 123)
Unique sites:
1 Pu 0.000 0.000 0.000
2 Th 0.500 0.500 0.273
3 V 0.000 0.000 0.500